1.
PBE-GGA ZrTaNb2, optimized geometry; V = 81 Å³/f.u.; magnetic moment = 0.00 Bohr magnetons per cell; E above lowest polymorph = 0.555 eV/atom; ΔE_f = 599.2 meV per atom
1.0
7.498 0.000 0.000
0.000 7.498 0.000
3.749 3.749 2.888
Nb Zr Ta
4 2 2
Direct
0.636 0.125 0.250
0.114 0.625 0.250
0.375 0.364 0.750
0.875 0.886 0.750
0.500 0.500 0.000
0.250 0.750 0.500
0.000 0.000 0.000
0.750 0.250 0.500

2.
PBE-GGA LuPaFeCu, optimized geometry; V = 75 Å³/f.u.; magnetic moment = 0.00 Bohr magnetons per cell; ΔE_f = -6.0 meV per atom
1.0
4.735 0.000 0.000
2.368 4.101 0.000
2.368 1.367 3.866
Pa Lu Fe Cu
1 1 1 1
Direct
0.000 0.000 0.000
0.500 0.500 0.500
0.750 0.750 0.750
0.250 0.250 0.250

3.
PBE-GGA KPtBr6, optimized geometry; V = 320 Å³/f.u.; magnetic moment = 0.00 Bohr magnetons per cell; E above lowest polymorph = 0.132 eV/atom; formation energy without anion corrections = -3.195 eV/f.u.
1.0
9.431 0.000 2.415
4.716 4.333 1.208
2.496 0.000 8.466
K Pt Br
1 1 6
Direct
0.000 0.000 0.500
0.000 0.000 0.000
0.393 0.000 0.236
0.948 0.365 0.752
0.607 0.000 0.764
0.687 0.365 0.248
0.052 0.635 0.248
0.313 0.635 0.752

4.
PBE-GGA MgSbRhI2, optimized geometry; V = 158 Å³/f.u.; magnetic moment = 0.00 Bohr magnetons per cell; E above lowest polymorph = 0.000 eV/atom; formation energy without anion corrections = 0.715 eV/f.u.
1.0
-3.108 4.342 -1.639
-4.380 -3.396 -0.693
-1.390 0.815 4.793
I Sb Mg Rh
2 1 1 1
Direct
0.000 0.500 0.000
0.500 0.000 0.000
0.000 0.000 0.500
0.500 0.500 0.500
0.000 0.000 0.000

5.
PBE-GGA TaBiI2N, optimized geometry; V = 132 Å³/f.u.; magnetic moment = 0.00 Bohr magnetons per cell; E above lowest polymorph = 0.000 eV/atom; formation energy without anion corrections = 1.259 eV/f.u.
1.0
5.808 0.000 0.000
0.000 5.808 0.000
0.000 0.000 3.924
I N Bi Ta
2 1 1 1
Direct
0.000 0.500 0.000
0.500 0.000 0.000
0.000 0.000 0.500
0.500 0.500 0.500
0.000 0.000 0.000

6.
PBE-GGA Sr2TcPSe, optimized geometry; V = 157 Å³/f.u.; magnetic moment = 1.74 Bohr magnetons per cell; formation energy without anion corrections = 0.235 eV/f.u.
1.0
5.865 0.000 0.000
0.000 5.865 0.000
0.000 0.000 4.558
Sr Tc Se P
2 1 1 1
Direct
0.000 0.500 0.000
0.500 0.000 0.000
0.000 0.000 0.000
0.000 0.000 0.500
0.500 0.500 0.500

7.
PBE-GGA CeCo2Ge2Ir, optimized geometry; V = 117 Å³/f.u.; magnetic moment = 1.73 Bohr magnetons per cell; ΔE_f = 161.7 meV per atom
1.0
4.772 0.000 0.000
0.000 4.772 0.000
0.000 0.000 5.139
Ce Co Ge Ir
1 2 2 1
Direct
0.000 0.000 0.500
0.500 0.500 0.756
0.500 0.500 0.244
0.500 0.000 0.000
0.000 0.500 0.000
0.000 0.000 0.000

8.
PBE-GGA NaBAsF2, optimized geometry; V = 104 Å³/f.u.; magnetic moment = 0.91 Bohr magnetons per cell; formation energy without anion corrections = -0.105 eV/f.u.
1.0
-2.887 0.315 -2.938
0.946 -5.804 -1.553
-2.884 -1.194 2.706
Na As B F
1 1 1 2
Direct
0.000 0.500 0.000
0.000 0.000 0.000
0.500 0.500 0.500
0.000 0.000 0.500
0.500 0.000 0.000

9.
PBE-GGA TbPm6Ho, optimized geometry; V = 269 Å³/f.u.; magnetic moment = 0.00 Bohr magnetons per cell; ΔE_f = 15.9 meV per atom
1.0
-6.086 0.056 -1.490
0.827 -3.599 5.062
1.652 7.558 2.475
Tb Pm Ho
1 6 1
Direct
0.500 0.500 0.000
0.624 0.124 0.248
0.876 0.376 0.752
0.250 0.250 0.500
0.124 0.624 0.248
0.376 0.876 0.752
0.750 0.750 0.500
0.000 0.000 0.000

10.
PBE-GGA Ba2In6IrPd, optimized geometry; V = 290 Å³/f.u.; magnetic moment = 0.00 Bohr magnetons per cell; ΔE_f = -324.5 meV per atom
1.0
-7.005 -2.468 -0.320
2.489 -6.953 -0.852
-2.270 -5.354 4.631
Ba In Ir Pd
2 6 1 1
Direct
0.250 0.750 0.500
0.750 0.250 0.500
0.250 0.750 0.000
0.750 0.750 0.000
0.250 0.250 0.500
0.750 0.250 0.000
0.250 0.250 0.000
0.750 0.750 0.500
0.000 0.000 0.000
0.500 0.500 0.000

11.
PBE-GGA Ag6BrF7, optimized geometry; V = 242 Å³/f.u.; magnetic moment = 0.00 Bohr magnetons per cell; formation energy without anion corrections = -13.240 eV/f.u.
1.0
2.885 2.139 6.018
2.147 -4.709 4.725
6.815 -0.952 1.152
Ag Br F
6 1 7
Direct
0.775 0.065 0.753
0.587 0.278 0.235
0.900 0.587 0.235
0.065 0.407 0.753
0.407 0.775 0.753
0.278 0.900 0.235
0.995 0.995 0.016
0.977 0.210 0.316
0.466 0.126 0.686
0.723 0.466 0.686
0.631 0.631 0.108
0.210 0.496 0.316
0.496 0.977 0.316
0.126 0.723 0.686

12.
PBE-GGA V3InPt, optimized geometry; V = 102 Å³/f.u.; magnetic moment = 0.00 Bohr magnetons per cell; E above lowest polymorph = 0.000 eV/atom; ΔE_f = 851.7 meV per atom
1.0
4.673 0.000 0.000
0.000 4.673 0.000
0.000 0.000 4.673
In Pt V
1 1 3
Direct
0.500 0.500 0.500
0.000 0.000 0.000
0.000 0.500 0.000
0.000 0.000 0.500
0.500 0.000 0.000

13.
PBE-GGA CoPbCl2, optimized geometry; V = 90 Å³/f.u.; magnetic moment = 1.76 Bohr magnetons per cell; E above lowest polymorph = 0.110 eV/atom; formation energy without anion corrections = -1.150 eV/f.u.
1.0
-2.065 -3.476 -4.215
-1.023 -5.491 1.708
-1.378 5.621 0.781
Pb Co Cl
1 1 2
Direct
0.250 0.750 0.500
0.750 0.250 0.500
0.916 0.916 0.000
0.584 0.584 0.000

14.
PBE-GGA BaCuGe2, optimized geometry; V = 95 Å³/f.u.; magnetic moment = 0.00 Bohr magnetons per cell; ΔE_f = 171.4 meV per atom
1.0
0.000 3.619 3.619
3.619 0.000 3.619
3.619 3.619 0.000
Ge Ba Cu
2 1 1
Direct
0.250 0.250 0.250
0.750 0.750 0.750
0.500 0.500 0.500
0.000 0.000 0.000

15.
PBE-GGA Tl2CoNi, optimized geometry; V = 72 Å³/f.u.; magnetic moment = 0.60 Bohr magnetons per cell; E above lowest polymorph = 0.160 eV/atom; ΔE_f = 555.2 meV per atom
1.0
-3.784 6.324 3.470
-4.373 3.975 5.607
-1.578 5.590 5.711
Co Ni Tl
1 1 2
Direct
0.250 0.250 0.250
0.750 0.750 0.750
0.000 0.000 0.000
0.500 0.500 0.500

16.
PBE-GGA BeZnPt2S, optimized geometry; V = 95 Å³/f.u.; magnetic moment = 0.00 Bohr magnetons per cell; formation energy without anion corrections = 5.058 eV/f.u.
1.0
4.688 0.000 0.000
0.000 4.344 0.000
0.000 0.000 4.688
Be Zn S Pt
1 1 1 2
Direct
0.500 0.500 0.500
0.000 0.000 0.000
0.000 0.500 0.000
0.000 0.000 0.500
0.500 0.000 0.000

17.
PBE-GGA Li5Zn2Ga12, optimized geometry; V = 335 Å³/f.u.; magnetic moment = 0.00 Bohr magnetons per cell; E above lowest polymorph = 0.026 eV/atom; ΔE_f = -119.5 meV per atom
1.0
5.623 0.000 0.000
-2.812 7.088 1.685
0.000 -0.298 8.326
Li Zn Ga
5 2 12
Direct
0.250 0.499 0.494
0.337 0.674 0.023
0.000 0.000 0.500
0.663 0.326 0.977
0.750 0.501 0.506
0.744 0.000 0.000
0.256 0.000 0.000
0.843 0.686 0.019
0.051 0.610 0.750
0.559 0.610 0.750
0.129 0.770 0.299
0.641 0.770 0.299
0.465 0.929 0.667
0.535 0.071 0.333
0.871 0.230 0.701
0.359 0.230 0.701
0.949 0.390 0.250
0.441 0.390 0.250
0.157 0.314 0.981

18.
PBE-GGA Pr5As4S, optimized geometry; V = 276 Å³/f.u.; magnetic moment = 0.00 Bohr magnetons per cell; E above lowest polymorph = 0.000 eV/atom; formation energy without anion corrections = -16.360 eV/f.u.
1.0
-5.404 0.673 2.624
-1.114 -4.446 5.810
-0.125 5.047 5.411
Pr As S
5 4 1
Direct
0.901 0.400 0.801
0.300 0.801 0.600
0.702 0.199 0.400
0.101 0.600 0.199
0.501 0.000 0.000
0.402 0.398 0.800
0.800 0.800 0.602
0.202 0.200 0.398
0.600 0.602 0.200
0.001 0.000 0.000

19.
PBE-GGA LiNp2TaN4, optimized geometry; V = 99 Å³/f.u.; magnetic moment = 5.96 Bohr magnetons per cell; formation energy without anion corrections = -8.090 eV/f.u.
1.0
3.297 0.000 0.000
0.000 5.722 0.107
0.000 -1.992 5.236
Li Np Ta N
1 2 1 4
Direct
0.000 0.000 0.000
0.500 0.000 0.500
0.000 0.500 0.500
0.500 0.500 0.000
0.500 0.274 0.246
0.500 0.726 0.754
0.000 0.266 0.773
0.000 0.734 0.227

20.
PBE-GGA PrGe2Pt7Pb2, optimized geometry; V = 257 Å³/f.u.; magnetic moment = 0.00 Bohr magnetons per cell; ΔE_f = -469.1 meV per atom
1.0
-2.253 3.066 1.366
-1.057 -2.212 3.214
10.781 6.006 10.187
Pr Ge Pt Pb
1 2 7 2
Direct
0.000 0.000 0.000
0.617 0.617 0.762
0.383 0.383 0.238
0.500 0.500 0.000
0.303 0.303 0.392
0.697 0.697 0.608
0.929 0.429 0.145
0.429 0.929 0.145
0.571 0.071 0.855
0.071 0.571 0.855
0.789 0.789 0.423
0.211 0.211 0.577